[1]
Here is a PBEsol-optimized structure of Co2AsIr from Alexandria via LeMat-Bulk. Energies are from meta-GGA SCAN.

```
4
Lattice="2.731 0.000 0.000 0.000 2.731 0.000 0.000 0.000 6.549" Properties=species:S:1:pos:R:3 pbc="T T T"
Co 0.000 0.000 1.552
Co 0.000 0.000 4.997
As 1.365 1.365 0.000
Ir 1.365 1.365 3.275
```

Computed properties:
The value obtained for the total energy is -31.31 eV/atom. The value obtained for the density of states at the Fermi level is 2.67 states/eV/cell. The formation energy from the elements comes out at 62.2 kJ/mol of formula units.



[2]
Here is a PBEsol-optimized structure of Co2AsIr from Alexandria via LeMat-Bulk. Energies are from meta-GGA SCAN.

```
4
Lattice="-1.850 1.850 3.543 1.850 -1.850 3.543 1.850 1.850 -3.543" Properties=species:S:1:pos:R:3 pbc="T T T"
Co 0.000 0.000 0.000
Co 0.000 1.850 1.772
As 1.850 0.000 1.772
Ir 0.000 0.000 3.543
```

Computed properties:
The value obtained for the total energy is -31.40 eV/atom. The value obtained for the density of states at the Fermi level is 2.97 states/eV/cell. The formation energy from the elements comes out at 27.8 kJ/mol of formula units.



> Among the records above, which one has the highest formation energy from the elements?

number 1



> What is the formula in the first record?

Co2AsIr